[1]
Computed, not measured: a relaxed KIrOsCl crystal at the GGA-PBE level of DFT.

a = 8.343 Å, b = 8.343 Å, c = 8.343 Å
α = 160.17°, β = 153.85°, γ = 33.03°
Sites, in units of the cell vectors:
1 K 0.000 0.000 0.000
2 Ir 0.231 0.231 0.000
3 Os 0.671 0.671 0.000
4 Cl 0.382 0.382 0.000

ΔE to the lowest computed polymorph: 9.71 kJ per mole of atoms
energy relative to the elements, uncorrected: 140 meV/atom

[2]
Computed, not measured: a relaxed KIrOsCl crystal at the GGA-PBE level of DFT.

a = 8.036 Å, b = 8.036 Å, c = 8.036 Å
α = 28.60°, β = 28.60°, γ = 28.60°
Sites, in units of the cell vectors:
1 K 0.000 0.000 0.000
2 Ir 0.476 0.476 0.476
3 Os 0.780 0.780 0.780
4 Cl 0.579 0.579 0.579

ΔE to the lowest computed polymorph: 14.32 kJ per mole of atoms
energy relative to the elements, uncorrected: 188 meV/atom

[3]
Computed, not measured: a relaxed KIrOsCl crystal at the GGA-PBE level of DFT.

a = 3.977 Å, b = 3.977 Å, c = 7.958 Å
α = 104.51°, β = 104.51°, γ = 60.22°
Sites, in units of the cell vectors:
1 K 0.000 0.000 0.000
2 Ir 0.222 0.222 0.666
3 Os 0.528 0.528 0.579
4 Cl 0.426 0.426 0.272

ΔE to the lowest computed polymorph: 1.67 kJ per mole of atoms
energy relative to the elements, uncorrected: 57 meV/atom

[4]
Computed, not measured: a relaxed KIrOsCl crystal at the GGA-PBE level of DFT.

a = 2.898 Å, b = 4.260 Å, c = 8.094 Å
α = 101.57°, β = 90.23°, γ = 109.44°
Sites, in units of the cell vectors:
1 K 0.000 0.000 0.000
2 Ir 0.448 0.877 0.550
3 Os 0.200 0.386 0.667
4 Cl 0.344 0.662 0.250

ΔE to the lowest computed polymorph: 18.92 kJ per mole of atoms
energy relative to the elements, uncorrected: 236 meV/atom

[5]
Computed, not measured: a relaxed KIrOsCl crystal at the GGA-PBE level of DFT.

a = 3.965 Å, b = 3.965 Å, c = 8.162 Å
α = 104.08°, β = 104.08°, γ = 59.94°
Sites, in units of the cell vectors:
1 K 0.000 0.000 0.000
2 Ir 0.448 0.448 0.352
3 Os 0.144 0.144 0.440
4 Cl 0.247 0.247 0.741

ΔE to the lowest computed polymorph: 4.54 kJ per mole of atoms
energy relative to the elements, uncorrected: 87 meV/atom

[6]
Computed, not measured: a relaxed KPIr2Cl crystal at the GGA-PBE level of DFT.

a = 5.060 Å, b = 5.060 Å, c = 5.329 Å
α = 90.00°, β = 90.00°, γ = 90.00°
Sites, in units of the cell vectors:
1 K 0.000 0.000 0.000
2 P 0.000 0.000 0.500
3 Ir 0.000 0.500 0.000
4 Ir 0.500 0.000 0.000
5 Cl 0.500 0.500 0.500

ΔE to the lowest computed polymorph: 147.57 kJ per mole of atoms
energy relative to the elements, uncorrected: 2913 meV/atom

[7]
Computed, not measured: a relaxed KPIr2Cl crystal at the GGA-PBE level of DFT.

a = 4.499 Å, b = 4.499 Å, c = 5.250 Å
α = 90.00°, β = 90.00°, γ = 90.00°
Sites, in units of the cell vectors:
1 K 0.000 0.000 0.000
2 P 0.500 0.500 0.000
3 Ir 0.000 0.500 0.500
4 Ir 0.500 0.000 0.500
5 Cl 0.500 0.500 0.500

ΔE to the lowest computed polymorph: 0.00 kJ per mole of atoms
energy relative to the elements, uncorrected: 1383 meV/atom

[8]
Computed, not measured: a relaxed K2IrPbCl8 crystal at the GGA-PBE level of DFT.

a = 6.502 Å, b = 6.968 Å, c = 8.524 Å
α = 89.96°, β = 89.95°, γ = 88.31°
Sites, in units of the cell vectors:
1 K 0.001 0.000 0.236
2 K 0.999 0.000 0.764
3 Ir 0.500 0.500 0.000
4 Pb 0.500 0.500 0.500
5 Cl 0.246 0.825 0.500
6 Cl 0.281 0.389 0.802
7 Cl 0.281 0.390 0.199
8 Cl 0.324 0.797 0.999
9 Cl 0.676 0.203 0.001
10 Cl 0.719 0.610 0.801
11 Cl 0.719 0.611 0.198
12 Cl 0.754 0.175 0.500

energy relative to the elements, uncorrected: -1084 meV/atom

[9]
Computed, not measured: a relaxed KRb2IrCl6 crystal at the GGA-PBE level of DFT.

a = 7.333 Å, b = 10.683 Å, c = 7.898 Å
α = 90.00°, β = 90.00°, γ = 90.00°
Sites, in units of the cell vectors:
1 K 0.250 0.250 0.215
2 K 0.750 0.750 0.785
3 Rb 0.250 0.020 0.715
4 Rb 0.250 0.480 0.715
5 Rb 0.750 0.520 0.285
6 Rb 0.750 0.980 0.285
7 Ir 0.250 0.750 0.279
8 Ir 0.750 0.250 0.721
9 Cl 0.021 0.750 0.068
10 Cl 0.023 0.750 0.493
11 Cl 0.250 0.528 0.280
12 Cl 0.250 0.972 0.280
13 Cl 0.477 0.750 0.493
14 Cl 0.479 0.750 0.068
15 Cl 0.521 0.250 0.932
16 Cl 0.523 0.250 0.507
17 Cl 0.750 0.028 0.720
18 Cl 0.750 0.472 0.720
19 Cl 0.977 0.250 0.507
20 Cl 0.979 0.250 0.932

energy relative to the elements, uncorrected: -1368 meV/atom

[10]
Computed, not measured: a relaxed KRb2IrCl6 crystal at the GGA-PBE level of DFT.

a = 7.552 Å, b = 7.552 Å, c = 7.552 Å
α = 60.00°, β = 60.00°, γ = 60.00°
Sites, in units of the cell vectors:
1 K 0.000 0.000 0.000
2 Rb 0.250 0.250 0.250
3 Rb 0.750 0.750 0.750
4 Ir 0.500 0.500 0.500
5 Cl 0.278 0.278 0.722
6 Cl 0.278 0.722 0.278
7 Cl 0.278 0.722 0.722
8 Cl 0.722 0.278 0.278
9 Cl 0.722 0.278 0.722
10 Cl 0.722 0.722 0.278

energy relative to the elements, uncorrected: -1368 meV/atom

[11]
Computed, not measured: a relaxed KRbIrCl6 crystal at the GGA-PBE level of DFT.

a = 7.427 Å, b = 7.427 Å, c = 6.562 Å
α = 90.00°, β = 90.00°, γ = 120.00°
Sites, in units of the cell vectors:
1 K 0.000 0.000 0.000
2 Rb 0.667 0.333 0.500
3 Ir 0.333 0.667 0.000
4 Cl 0.076 0.409 0.209
5 Cl 0.076 0.667 0.791
6 Cl 0.333 0.409 0.791
7 Cl 0.333 0.924 0.209
8 Cl 0.591 0.667 0.209
9 Cl 0.591 0.924 0.791

energy relative to the elements, uncorrected: -1116 meV/atom

[12]
Computed, not measured: a relaxed KRb2IrCl8 crystal at the GGA-PBE level of DFT.

a = 6.003 Å, b = 7.009 Å, c = 10.004 Å
α = 89.82°, β = 89.90°, γ = 77.10°
Sites, in units of the cell vectors:
1 K 0.000 0.000 0.000
2 Rb 0.499 0.498 0.259
3 Rb 0.501 0.502 0.741
4 Ir 0.000 0.000 0.500
5 Cl 0.078 0.209 0.331
6 Cl 0.082 0.206 0.669
7 Cl 0.375 0.826 0.498
8 Cl 0.483 0.233 0.999
9 Cl 0.517 0.767 0.001
10 Cl 0.625 0.174 0.502
11 Cl 0.918 0.794 0.331
12 Cl 0.922 0.791 0.669

energy relative to the elements, uncorrected: -1113 meV/atom